First-principles (GGA-PBE) data for a relaxed LiHfNO crystal, as listed in the Open Quantum Materials Database.

Cell lengths 3.3680, 5.3888, 5.7818 Å; angles 90.00, 90.00, 90.00 degrees
Closest atoms and distances in Å follow each position.
Atoms (fractional coordinates):
Hf1 0.5000 0.0008 0.1807  2 N 2.00, 2 O 2.02-2.03
Hf2 0.5000 0.5008 0.8193  2 N 2.00, 2 O 2.02-2.03
Li1 0.0000 0.4989 0.3387  2 N 2.03-2.05, 2 O 2.12
Li2 0.0000 0.9989 0.6613  2 N 2.03-2.05, 2 O 2.12
N1 0.0000 0.8791 0.3286  2 Hf 2.00, 2 Li 2.03-2.05
N2 0.0000 0.3791 0.6714  2 Hf 2.00, 2 Li 2.03-2.05
O1 0.5000 0.3752 0.1487  2 Hf 2.02-2.03, 2 Li 2.12
O2 0.5000 0.8752 0.8513  2 Hf 2.02-2.03, 2 Li 2.12

DFT total energy: -66.01 eV per cell
relative energy among the computed polymorphs: 200 meV per atom

=====

First-principles (GGA-PBE) data for a relaxed Ni2Os crystal, as listed in the Open Quantum Materials Database.

Cell lengths 7.3501, 7.3501, 7.3501 Å; angles 60.00, 60.00, 60.00 degrees
Closest atoms and distances in Å follow each position.
Atoms (fractional coordinates):
Ni1 0.8750 0.8750 0.3750  2 Os 2.25
Ni2 0.8750 0.3750 0.8750  2 Os 2.25
Ni3 0.3750 0.8750 0.8750  2 Os 2.25
Ni4 0.8750 0.8750 0.8750  2 Os 2.25
Os1 0.0000 0.0000 0.0000  4 Ni 2.25
Os2 0.7500 0.7500 0.7500  4 Ni 2.25

DFT total energy: -28.83 eV per cell
E_form: 2.65 eV per atom
relative energy among the computed polymorphs: 2444 meV per atom

=====

First-principles (GGA-PBE) data for a relaxed NdErPO crystal, as listed in the Open Quantum Materials Database.

Cell lengths 4.1825, 7.6726, 5.4522 Å; angles 90.00, 90.00, 90.00 degrees
Closest atoms and distances in Å follow each position.
Atoms (fractional coordinates):
Er1 0.0000 0.7051 0.4386  2 O 2.27
Er2 0.0000 0.2949 0.9386  2 O 2.27
Nd1 0.5000 0.1335 0.4409  1 O 2.41
Nd2 0.5000 0.8665 0.9409  1 O 2.41
O1 0.5000 0.8197 0.4354  2 Er 2.27, 1 Nd 2.41
O2 0.5000 0.1803 0.9354  2 Er 2.27, 1 Nd 2.41
P1 0.0000 0.3561 0.4391  3 Er 2.68-2.77, 2 Nd 2.70
P2 0.0000 0.6439 0.9391  3 Er 2.68-2.77, 2 Nd 2.70

DFT total energy: -55.08 eV per cell
relative energy among the computed polymorphs: 50 meV per atom

=====

First-principles (GGA-PBE) data for a relaxed TbPaTe crystal, as listed in the Open Quantum Materials Database.

Cell lengths 5.1015, 5.1015, 5.1015 Å; angles 60.00, 60.00, 60.00 degrees
Closest atoms and distances in Å follow each position.
Atoms (fractional coordinates):
Pa1 0.0000 0.0000 0.0000  4 Te 3.12
Tb1 0.5000 0.5000 0.5000  4 Te 3.12
Te1 0.7500 0.7500 0.7500  4 Tb 3.12, 4 Pa 3.12

DFT total energy: -17.26 eV per cell
relative energy among the computed polymorphs: 0 meV per atom